--- 1 ---
A plane-wave DFT calculation with GGA-PBEsol was carried out for KBeNi after structural relaxation.

Cell lengths 4.643, 4.643, 4.643 Å; angles 60.00, 60.00, 60.00 degrees
Element x y z (fractional)
Ni: 0.000 0.000 0.000
K: 0.250 0.250 0.250
Be: 0.500 0.500 0.500

Results
space group: F-43m
magnetic moment: 0.0 Bohr magnetons per cell


--- 2 ---
A plane-wave DFT calculation with GGA-PBEsol was carried out for KBeNi after structural relaxation.

Cell lengths 4.413, 4.413, 4.413 Å; angles 60.00, 60.00, 60.00 degrees
Element x y z (fractional)
Ni: 0.250 0.250 0.250
K: 0.500 0.500 0.500
Be: 0.000 0.000 0.000

Results
space group: F-43m
magnetic moment: 0.0 Bohr magnetons per cell


--- 3 ---
A plane-wave DFT calculation with GGA-PBEsol was carried out for KBeNi after structural relaxation.

Cell lengths 4.415, 4.415, 4.415 Å; angles 60.00, 60.00, 60.00 degrees
Element x y z (fractional)
Ni: 0.500 0.500 0.500
K: 0.000 0.000 0.000
Be: 0.250 0.250 0.250

Results
space group: F-43m
magnetic moment: 0.0 Bohr magnetons per cell


Least stable structure: 1


--- 1 ---
A plane-wave DFT calculation with GGA-PBEsol was carried out for KBePS2 after structural relaxation.

Cell lengths 5.177, 5.177, 5.121 Å; angles 90.00, 90.00, 90.00 degrees
Element x y z (fractional)
P: 0.000 0.000 0.500
K: 0.000 0.000 0.000
S: 0.000 0.500 0.000
S: 0.500 0.000 0.000
Be: 0.500 0.500 0.500

Results
space group: P4/mmm
magnetic moment: 0.4 Bohr magnetons per cell


--- 2 ---
A plane-wave DFT calculation with GGA-PBEsol was carried out for KBePS2 after structural relaxation.

Cell lengths 4.193, 4.659, 4.659 Å; angles 90.00, 90.00, 90.00 degrees
Element x y z (fractional)
P: 0.500 0.000 0.000
K: 0.500 0.500 0.500
S: 0.000 0.000 0.500
S: 0.000 0.500 0.000
Be: 0.000 0.000 0.000

Results
space group: P4/mmm
magnetic moment: 0.0 Bohr magnetons per cell


Least stable structure: 1


--- 1 ---
A plane-wave DFT calculation with GGA-PBEsol was carried out for KBeRh3 after structural relaxation.

Cell lengths 4.265, 4.265, 4.265 Å; angles 90.00, 90.00, 90.00 degrees
Element x y z (fractional)
Be: 0.000 0.000 0.000
K: 0.500 0.500 0.500
Rh: 0.000 0.500 0.000
Rh: 0.000 0.000 0.500
Rh: 0.500 0.000 0.000

Results
space group: Pm-3m
magnetic moment: 0.0 Bohr magnetons per cell


--- 2 ---
A plane-wave DFT calculation with GGA-PBEsol was carried out for KBeRh3 after structural relaxation.

Cell lengths 4.504, 4.504, 4.504 Å; angles 90.00, 90.00, 90.00 degrees
Element x y z (fractional)
Be: 0.500 0.500 0.500
K: 0.000 0.000 0.000
Rh: 0.000 0.500 0.000
Rh: 0.000 0.000 0.500
Rh: 0.500 0.000 0.000

Results
space group: Pm-3m
magnetic moment: 0.9 Bohr magnetons per cell


Least stable structure: 2


--- 1 ---
A plane-wave DFT calculation with GGA-PBEsol was carried out for KScBe after structural relaxation.

Cell lengths 4.865, 4.865, 4.865 Å; angles 60.00, 60.00, 60.00 degrees
Element x y z (fractional)
Sc: 0.250 0.250 0.250
Be: 0.000 0.000 0.000
K: 0.500 0.500 0.500

Results
space group: F-43m
magnetic moment: 1.2 Bohr magnetons per cell


--- 2 ---
A plane-wave DFT calculation with GGA-PBEsol was carried out for KScBe after structural relaxation.

Cell lengths 2.821, 5.168, 5.168 Å; angles 120.00, 90.00, 90.00 degrees
Element x y z (fractional)
Sc: 0.504 0.667 0.333
Be: 0.001 0.000 0.000
K: 0.495 0.333 0.667

Results
space group: P3m1
magnetic moment: 0.0 Bohr magnetons per cell


Least stable structure: 1


--- 1 ---
A plane-wave DFT calculation with GGA-PBEsol was carried out for K2BeTl after structural relaxation.

Cell lengths 4.610, 6.015, 6.026 Å; angles 119.94, 90.00, 90.00 degrees
Element x y z (fractional)
Be: 0.500 0.625 0.250
Tl: 0.000 0.626 0.251
K: 0.000 0.959 0.918
K: 0.500 0.292 0.584

Results
space group: Amm2
magnetic moment: 0.0 Bohr magnetons per cell


--- 2 ---
A plane-wave DFT calculation with GGA-PBEsol was carried out for K2BeTl after structural relaxation.

Cell lengths 4.572, 6.128, 6.379 Å; angles 118.71, 111.00, 90.00 degrees
Element x y z (fractional)
Be: 0.133 0.633 0.266
Tl: 0.602 0.602 0.204
K: 0.973 0.973 0.946
K: 0.792 0.292 0.584

Results
space group: Imm2
magnetic moment: 0.0 Bohr magnetons per cell


Least stable structure: 2


--- 1 ---
A plane-wave DFT calculation with GGA-PBEsol was carried out for KBeTl after structural relaxation.

Cell lengths 5.067, 5.067, 5.067 Å; angles 60.00, 60.00, 60.00 degrees
Element x y z (fractional)
Be: 0.000 0.000 0.000
Tl: 0.250 0.250 0.250
K: 0.500 0.500 0.500

Results
space group: F-43m
magnetic moment: 0.0 Bohr magnetons per cell


--- 2 ---
A plane-wave DFT calculation with GGA-PBEsol was carried out for KBeTl after structural relaxation.

Cell lengths 4.280, 4.280, 5.431 Å; angles 90.00, 90.00, 120.00 degrees
Element x y z (fractional)
Be: 0.000 0.000 0.500
Tl: 0.333 0.667 0.500
K: 0.667 0.333 0.000

Results
space group: P-6m2
magnetic moment: 0.0 Bohr magnetons per cell


--- 3 ---
A plane-wave DFT calculation with GGA-PBEsol was carried out for KBeTl after structural relaxation.

Cell lengths 5.243, 5.243, 5.243 Å; angles 60.00, 60.00, 60.00 degrees
Element x y z (fractional)
Be: 0.500 0.500 0.500
Tl: 0.000 0.000 0.000
K: 0.250 0.250 0.250

Results
space group: F-43m
magnetic moment: 0.0 Bohr magnetons per cell


Least stable structure: 3